[1]
A relaxed La5Tm6 crystal. Source: Alexandria, functional PBE.

Properties
For the excess energy over the best structure of this formula in the dataset, the calculation gives 0.0 meV/atom. As for the space group: Immm (71). For the density of states at the Fermi level, the calculation gives 15.65 states/eV per cell.

a b c (Å): 9.512 9.512 9.512
angles (deg): 145.51 128.85 63.16
Sites, in units of the cell vectors:
La: 0.000 0.000 0.000
La: 0.163 0.663 0.500
La: 0.303 0.303 0.000
La: 0.697 0.697 0.000
La: 0.837 0.337 0.500
Tm: 0.162 0.865 0.297
Tm: 0.294 0.500 0.794
Tm: 0.432 0.135 0.297
Tm: 0.568 0.865 0.703
Tm: 0.706 0.500 0.206
Tm: 0.838 0.135 0.703

=====

[2]
A relaxed La3Tm crystal. Source: Alexandria, functional PBE.

Properties
The total DFT energy (no corrections) comes out at -4.79 eV/atom. As for the space group: I4/mmm (139). For the density of states at the Fermi level, the calculation gives 7.13 states/eV per cell.

a b c (Å): 6.373 6.373 6.373
angles (deg): 132.02 132.02 70.19
Sites, in units of the cell vectors:
La: 0.000 0.000 0.000
La: 0.250 0.750 0.500
La: 0.750 0.250 0.500
Tm: 0.500 0.500 0.000

=====

[3]
A relaxed La4Tm crystal. Source: Alexandria, functional PBE.

Properties
For the excess energy over the best structure of this formula in the dataset, the calculation gives 558.1 meV/atom. As for the space group: Pm-3m (221). For the density of states at the Fermi level, the calculation gives 9.22 states/eV per cell.

a b c (Å): 5.938 5.938 5.938
angles (deg): 90.00 90.00 90.00
Sites, in units of the cell vectors:
La: 0.000 0.000 0.000
La: 0.000 0.500 0.500
La: 0.500 0.000 0.500
La: 0.500 0.500 0.000
Tm: 0.500 0.500 0.500

=====

[4]
A relaxed LaTm5 crystal. Source: Alexandria, functional PBE.

Properties
For the excess energy over the best structure of this formula in the dataset, the calculation gives 101.6 meV/atom. As for the space group: Amm2 (38). For the density of states at the Fermi level, the calculation gives 10.80 states/eV per cell.

a b c (Å): 9.569 6.072 6.072
angles (deg): 33.00 90.00 90.00
Sites, in units of the cell vectors:
La: 0.000 0.000 0.000
Tm: 0.184 0.272 0.272
Tm: 0.327 0.538 0.538
Tm: 0.500 0.816 0.816
Tm: 0.673 0.538 0.538
Tm: 0.816 0.272 0.272

=====

[5]
A relaxed La7Tm crystal. Source: Alexandria, functional PBE.

Properties
The total DFT energy (no corrections) comes out at -4.86 eV/atom. As for the space group: Fm-3m (225). For the density of states at the Fermi level, the calculation gives 13.90 states/eV per cell.

a b c (Å): 7.402 7.402 7.402
angles (deg): 60.00 60.00 60.00
Sites, in units of the cell vectors:
La: 0.000 0.000 0.000
La: 0.000 0.000 0.500
La: 0.000 0.500 0.000
La: 0.000 0.500 0.500
La: 0.500 0.000 0.000
La: 0.500 0.000 0.500
La: 0.500 0.500 0.000
Tm: 0.500 0.500 0.500

=====

[6]
A relaxed La2Tm17 crystal. Source: Alexandria, functional PBE.

Properties
The total DFT energy (no corrections) comes out at -4.25 eV/atom. As for the space group: R-3m (166). For the density of states at the Fermi level, the calculation gives 43.22 states/eV per cell.

a b c (Å): 8.645 8.645 8.645
angles (deg): 81.80 81.80 81.80
Sites, in units of the cell vectors:
La: 0.164 0.164 0.164
La: 0.836 0.836 0.836
Tm: 0.000 0.500 0.500
Tm: 0.142 0.142 0.650
Tm: 0.142 0.650 0.142
Tm: 0.201 0.500 0.799
Tm: 0.201 0.799 0.500
Tm: 0.350 0.858 0.858
Tm: 0.398 0.398 0.398
Tm: 0.500 0.000 0.500
Tm: 0.500 0.201 0.799
Tm: 0.500 0.500 0.000
Tm: 0.500 0.799 0.201
Tm: 0.602 0.602 0.602
Tm: 0.650 0.142 0.142
Tm: 0.799 0.201 0.500
Tm: 0.799 0.500 0.201
Tm: 0.858 0.350 0.858
Tm: 0.858 0.858 0.350

=====

[7]
A relaxed LaTm crystal. Source: Alexandria, functional PBE.

Properties
For the excess energy over the best structure of this formula in the dataset, the calculation gives 53.0 meV/atom. As for the space group: P2_1/m (11). For the density of states at the Fermi level, the calculation gives 6.80 states/eV per cell.

a b c (Å): 3.535 5.687 6.908
angles (deg): 90.00 104.77 90.00
Sites, in units of the cell vectors:
La: 0.058 0.250 0.116
La: 0.942 0.750 0.884
Tm: 0.315 0.250 0.629
Tm: 0.685 0.750 0.371

=====

[8]
A relaxed La5Tm crystal. Source: Alexandria, functional PBE.

Properties
For the excess energy over the best structure of this formula in the dataset, the calculation gives 0.0 meV/atom. As for the space group: Pmmn (59). For the density of states at the Fermi level, the calculation gives 18.87 states/eV per cell.

a b c (Å): 5.255 11.064 7.322
angles (deg): 90.00 90.00 90.00
Sites, in units of the cell vectors:
La: 0.250 0.081 0.123
La: 0.250 0.084 0.625
La: 0.250 0.416 0.625
La: 0.250 0.419 0.123
La: 0.250 0.750 0.628
La: 0.750 0.250 0.372
La: 0.750 0.581 0.877
La: 0.750 0.584 0.375
La: 0.750 0.916 0.375
La: 0.750 0.919 0.877
Tm: 0.250 0.750 0.124
Tm: 0.750 0.250 0.876

=====

[9]
A relaxed La3Tm crystal. Source: Alexandria, functional PBE.

Properties
The total DFT energy (no corrections) comes out at -4.81 eV/atom. As for the space group: Pm-3m (221). For the density of states at the Fermi level, the calculation gives 4.69 states/eV per cell.

a b c (Å): 5.184 5.184 5.184
angles (deg): 90.00 90.00 90.00
Sites, in units of the cell vectors:
La: 0.000 0.000 0.500
La: 0.000 0.500 0.000
La: 0.500 0.000 0.000
Tm: 0.500 0.500 0.500

=====

[10]
A relaxed La3Tm crystal. Source: Alexandria, functional PBE.

Properties
The total DFT energy (no corrections) comes out at -4.78 eV/atom. As for the space group: Pmm2 (25). For the density of states at the Fermi level, the calculation gives 6.39 states/eV per cell.

a b c (Å): 3.714 5.956 6.373
angles (deg): 90.00 90.00 90.00
Sites, in units of the cell vectors:
La: 0.000 0.000 0.000
La: 0.000 0.500 0.337
La: 0.500 0.500 0.836
Tm: 0.500 0.000 0.505

=====

[11]
A relaxed LaTm4 crystal. Source: Alexandria, functional PBE.

Properties
For the excess energy over the best structure of this formula in the dataset, the calculation gives 4.5 meV/atom. As for the space group: I4/m (87). For the density of states at the Fermi level, the calculation gives 7.64 states/eV per cell.

a b c (Å): 6.134 6.134 6.134
angles (deg): 99.66 99.66 131.62
Sites, in units of the cell vectors:
La: 0.000 0.000 0.000
Tm: 0.199 0.402 0.600
Tm: 0.402 0.801 0.203
Tm: 0.598 0.199 0.797
Tm: 0.801 0.598 0.400

=====

[12]
A relaxed La5Tm4 crystal. Source: Alexandria, functional PBE.

Properties
The total DFT energy (no corrections) comes out at -4.69 eV/atom. As for the space group: I4/mmm (139). For the density of states at the Fermi level, the calculation gives 13.01 states/eV per cell.

a b c (Å): 8.102 8.102 8.102
angles (deg): 95.78 95.78 142.99
Sites, in units of the cell vectors:
La: 0.000 0.000 0.000
La: 0.000 0.331 0.331
La: 0.000 0.669 0.669
La: 0.331 0.000 0.331
La: 0.669 0.000 0.669
Tm: 0.334 0.334 0.667
Tm: 0.334 0.666 0.000
Tm: 0.666 0.334 0.000
Tm: 0.666 0.666 0.333

=====

[13]
A relaxed La3Tm5 crystal. Source: Alexandria, functional PBE.

Properties
The total DFT energy (no corrections) comes out at -4.61 eV/atom. As for the space group: Cmmm (65). For the density of states at the Fermi level, the calculation gives 12.27 states/eV per cell.

a b c (Å): 7.127 7.127 5.139
angles (deg): 90.00 90.00 92.44
Sites, in units of the cell vectors:
La: 0.000 0.000 0.000
La: 0.256 0.744 0.500
La: 0.744 0.256 0.500
Tm: 0.000 0.500 0.000
Tm: 0.249 0.249 0.500
Tm: 0.500 0.000 0.000
Tm: 0.500 0.500 0.000
Tm: 0.751 0.751 0.500

=====

[14]
A relaxed LaTm4 crystal. Source: Alexandria, functional PBE.

Properties
For the excess energy over the best structure of this formula in the dataset, the calculation gives 717.7 meV/atom. As for the space group: Pm-3m (221). For the density of states at the Fermi level, the calculation gives 7.86 states/eV per cell.

a b c (Å): 5.569 5.569 5.569
angles (deg): 90.00 90.00 90.00
Sites, in units of the cell vectors:
La: 0.000 0.000 0.000
Tm: 0.000 0.000 0.500
Tm: 0.000 0.500 0.000
Tm: 0.500 0.000 0.000
Tm: 0.500 0.500 0.500

=====

[15]
A relaxed LaTm4 crystal. Source: Alexandria, functional PBE.

Properties
For the excess energy over the best structure of this formula in the dataset, the calculation gives 0.0 meV/atom. As for the space group: Immm (71). For the density of states at the Fermi level, the calculation gives 7.32 states/eV per cell.

a b c (Å): 9.397 9.397 9.397
angles (deg): 158.19 149.28 37.99
Sites, in units of the cell vectors:
La: 0.000 0.000 0.000
Tm: 0.201 0.201 0.000
Tm: 0.396 0.396 0.000
Tm: 0.604 0.604 0.000
Tm: 0.799 0.799 0.000

=====

[16]
A relaxed LaTm8 crystal. Source: Alexandria, functional PBE.

Properties
The total DFT energy (no corrections) comes out at -4.49 eV/atom. As for the space group: I4/mmm (139). For the density of states at the Fermi level, the calculation gives 13.18 states/eV per cell.

a b c (Å): 7.875 7.875 7.875
angles (deg): 95.71 95.71 143.21
Sites, in units of the cell vectors:
La: 0.000 0.000 0.000
Tm: 0.000 0.336 0.336
Tm: 0.000 0.664 0.664
Tm: 0.331 0.331 0.662
Tm: 0.331 0.669 0.000
Tm: 0.336 0.000 0.336
Tm: 0.664 0.000 0.664
Tm: 0.669 0.331 0.000
Tm: 0.669 0.669 0.338

=====

[17]
A relaxed LaTm crystal. Source: Alexandria, functional PBE.

Properties
For the excess energy over the best structure of this formula in the dataset, the calculation gives 39.7 meV/atom. As for the space group: Pm-3m (221). For the density of states at the Fermi level, the calculation gives 2.90 states/eV per cell.

a b c (Å): 4.078 4.078 4.078
angles (deg): 90.00 90.00 90.00
Sites, in units of the cell vectors:
La: 0.000 0.000 0.000
Tm: 0.500 0.500 0.500

=====

[18]
A relaxed La2Tm7 crystal. Source: Alexandria, functional PBE.

Properties
The total DFT energy (no corrections) comes out at -4.54 eV/atom. As for the space group: P-31m (162). For the density of states at the Fermi level, the calculation gives 13.72 states/eV per cell.

a b c (Å): 6.152 6.152 8.662
angles (deg): 90.00 90.00 120.00
Sites, in units of the cell vectors:
La: 0.333 0.667 0.000
La: 0.667 0.333 0.000
Tm: 0.000 0.000 0.000
Tm: 0.000 0.332 0.661
Tm: 0.000 0.668 0.339
Tm: 0.332 0.000 0.661
Tm: 0.332 0.332 0.339
Tm: 0.668 0.000 0.339
Tm: 0.668 0.668 0.661

=====

[19]
A relaxed LaTm2 crystal. Source: Alexandria, functional PBE.

Properties
For the excess energy over the best structure of this formula in the dataset, the calculation gives 559.5 meV/atom. As for the space group: I4_122 (98). For the density of states at the Fermi level, the calculation gives 10.74 states/eV per cell.

a b c (Å): 8.572 8.572 8.572
angles (deg): 92.31 92.31 156.82
Sites, in units of the cell vectors:
La: 0.000 0.000 0.000
La: 0.750 0.250 0.500
Tm: 0.315 0.125 0.690
Tm: 0.375 0.565 0.690
Tm: 0.435 0.625 0.310
Tm: 0.875 0.685 0.310

=====

[20]
A relaxed La4Tm crystal. Source: Alexandria, functional PBE.

Properties
For the excess energy over the best structure of this formula in the dataset, the calculation gives 2.3 meV/atom. As for the space group: I4/mmm (139). For the density of states at the Fermi level, the calculation gives 8.70 states/eV per cell.

a b c (Å): 13.118 13.118 13.118
angles (deg): 163.73 163.73 23.08
Sites, in units of the cell vectors:
La: 0.096 0.096 0.000
La: 0.302 0.302 0.000
La: 0.698 0.698 0.000
La: 0.904 0.904 0.000
Tm: 0.500 0.500 0.000